# MgPd (PBE, optimized geometry)
# Crystal system   orthorhombic
# Symmetry   No. 25
# Total energy   -3.821 eV/atom
data_MgPd
_cell_length_a 4.604
_cell_length_b 5.814
_cell_length_c 4.936
_cell_angle_alpha 90.00
_cell_angle_beta 90.00
_cell_angle_gamma 90.00
_space_group_name_H-M_alt 'P 1'
_space_group_IT_number 1
loop_
_space_group_symop_operation_xyz
'x,y,z'
loop_
_atom_site_label
_atom_site_fract_x
_atom_site_fract_y
_atom_site_fract_z
Mg1 0.000 0.000 0.000
Mg2 0.000 0.273 0.472
Mg3 0.000 0.727 0.472
Mg4 0.500 0.000 0.639
Pd1 0.000 0.500 0.974
Pd2 0.500 0.248 0.147
Pd3 0.500 0.500 0.648
Pd4 0.500 0.752 0.147

# CdSbPtAu (PBE, optimized geometry)
# Crystal system   cubic
# Total magnetization   0.002 μB/f.u.
# Offset from the most stable computed form   0 meV/atom
# Symmetry   No. 216
data_CdSbPtAu
_cell_length_a 6.816
_cell_length_b 6.816
_cell_length_c 6.816
_cell_angle_alpha 90.00
_cell_angle_beta 90.00
_cell_angle_gamma 90.00
_space_group_name_H-M_alt 'P 1'
_space_group_IT_number 1
loop_
_space_group_symop_operation_xyz
'x,y,z'
loop_
_atom_site_label
_atom_site_fract_x
_atom_site_fract_y
_atom_site_fract_z
Cd1 0.000 0.000 0.000
Cd2 0.000 0.500 0.500
Cd3 0.500 0.000 0.500
Cd4 0.500 0.500 0.000
Sb1 0.000 0.000 0.500
Sb2 0.000 0.500 0.000
Sb3 0.500 0.000 0.000
Sb4 0.500 0.500 0.500
Pt1 0.250 0.250 0.250
Pt2 0.250 0.750 0.750
Pt3 0.750 0.250 0.750
Pt4 0.750 0.750 0.250
Au1 0.250 0.250 0.750
Au2 0.250 0.750 0.250
Au3 0.750 0.250 0.250
Au4 0.750 0.750 0.750

# MgCdSO (PBE, optimized geometry)
# Crystal system   orthorhombic
# Offset from the most stable computed form   0 meV/atom
# Symmetry   No. 29
data_MgCdSO
_cell_length_a 6.108
_cell_length_b 8.153
_cell_length_c 5.552
_cell_angle_alpha 90.00
_cell_angle_beta 90.00
_cell_angle_gamma 90.00
_space_group_name_H-M_alt 'P 1'
_space_group_IT_number 1
loop_
_space_group_symop_operation_xyz
'x,y,z'
loop_
_atom_site_label
_atom_site_fract_x
_atom_site_fract_y
_atom_site_fract_z
Mg1 0.114 0.074 0.000
Mg2 0.386 0.074 0.500
Mg3 0.614 0.926 0.000
Mg4 0.886 0.926 0.500
Cd1 0.039 0.659 0.099
Cd2 0.461 0.659 0.599
Cd3 0.539 0.341 0.099
Cd4 0.961 0.341 0.599
S1 0.034 0.654 0.618
S2 0.466 0.654 0.118
S3 0.534 0.346 0.618
S4 0.966 0.346 0.118
O1 0.093 0.080 0.646
O2 0.407 0.080 0.146
O3 0.593 0.920 0.646
O4 0.907 0.920 0.146

# Th2In (PBE, optimized geometry)
# Crystal system   cubic
# Total magnetization   1.997 μB/f.u.
# Symmetry   No. 227
# Total energy   -3.378 eV/atom
data_Th2In
_cell_length_a 9.611
_cell_length_b 9.611
_cell_length_c 9.611
_cell_angle_alpha 60.00
_cell_angle_beta 60.00
_cell_angle_gamma 60.00
_space_group_name_H-M_alt 'P 1'
_space_group_IT_number 1
loop_
_space_group_symop_operation_xyz
'x,y,z'
loop_
_atom_site_label
_atom_site_fract_x
_atom_site_fract_y
_atom_site_fract_z
Th1 0.000 0.000 0.000
Th2 0.000 0.000 0.500
Th3 0.000 0.500 0.000
Th4 0.500 0.000 0.000
In1 0.125 0.125 0.125
In2 0.875 0.875 0.875

# Gd2Ag2TeSe3 (PBE, optimized geometry)
# Crystal system   monoclinic
# Total magnetization   0.003 μB/f.u.
# Symmetry   No. 8
# Total energy   -4.719 eV/atom
data_Gd2Ag2TeSe3
_cell_length_a 9.960
_cell_length_b 9.552
_cell_length_c 4.439
_cell_angle_alpha 90.00
_cell_angle_beta 91.09
_cell_angle_gamma 90.00
_space_group_name_H-M_alt 'P 1'
_space_group_IT_number 1
loop_
_space_group_symop_operation_xyz
'x,y,z'
loop_
_atom_site_label
_atom_site_fract_x
_atom_site_fract_y
_atom_site_fract_z
Gd1 0.000 0.000 0.000
Gd2 0.023 0.500 0.403
Gd3 0.500 0.500 0.000
Gd4 0.523 0.000 0.403
Ag1 0.259 0.248 0.221
Ag2 0.259 0.752 0.221
Ag3 0.759 0.252 0.221
Ag4 0.759 0.748 0.221
Te1 0.305 0.000 0.900
Te2 0.805 0.500 0.900
Se1 0.010 0.201 0.481
Se2 0.010 0.799 0.481
Se3 0.213 0.500 0.928
Se4 0.510 0.299 0.481
Se5 0.510 0.701 0.481
Se6 0.713 0.000 0.928

# TlTeAuO (PBE, optimized geometry)
# Crystal system   orthorhombic
# Offset from the most stable computed form   59 meV/atom
# Symmetry   No. 26
data_TlTeAuO
_cell_length_a 3.860
_cell_length_b 8.170
_cell_length_c 6.361
_cell_angle_alpha 90.00
_cell_angle_beta 90.00
_cell_angle_gamma 90.00
_space_group_name_H-M_alt 'P 1'
_space_group_IT_number 1
loop_
_space_group_symop_operation_xyz
'x,y,z'
loop_
_atom_site_label
_atom_site_fract_x
_atom_site_fract_y
_atom_site_fract_z
Tl1 0.000 0.159 0.000
Tl2 0.000 0.841 0.500
Te1 0.000 0.219 0.507
Te2 0.000 0.781 0.007
Au1 0.500 0.447 0.510
Au2 0.500 0.553 0.010
O1 0.500 0.300 0.017
O2 0.500 0.700 0.517